{"formula": "LiNd6Co", "functional": "PBE", "state": "relaxed", "energy_ry_per_atom": -0.333, "dos_at_fermi_per_ev_cell": 10.18, "magnetic_moment_mub_per_atom": 0.00, "formation_enthalpy_0k_ev_per_atom": 0.167, "volume_a3_per_atom": 32.56, "lattice": [[6.780, 0.000, 0.000], [-3.390, 5.880, 0.000], [-3.387, -1.959, 6.535]], "species": ["Li", "Nd", "Nd", "Nd", "Nd", "Nd", "Nd", "Co"], "fractional_positions": [[0.000, 0.000, 0.000], [0.170, 0.456, 0.252], [0.203, 0.287, 0.748], [0.461, 0.917, 0.748], [0.539, 0.083, 0.252], [0.797, 0.713, 0.252], [0.830, 0.544, 0.748], [0.000, 0.500, 0.500]]}